Material: Tm3Ir
Method: DFT, PBE
State: relaxed

Results
uncorrected energy	-6.200	eV/atom
formation energy	-0.6312	eV/atom
DOS(E_F)	3.335	states/eV/f.u.
SG	Pnma
V	25.6	Å³/atom
M_tot	0.0	μB/f.u.

```
16
Lattice="6.342 0.000 0.000 0.000 7.158 0.000 0.000 0.000 9.023" Properties=species:S:1:pos:R:3 pbc="T T T"
Tm 2.059 4.852 0.552
Tm 1.112 1.273 3.960
Tm 4.283 2.305 5.063
Tm 5.230 5.884 8.472
Tm 4.283 2.305 8.472
Tm 5.230 5.884 5.063
Tm 2.059 4.852 3.960
Tm 1.112 1.273 0.552
Tm 5.554 3.815 2.256
Tm 3.959 0.236 2.256
Tm 0.788 3.343 6.767
Tm 2.383 6.922 6.767
Ir 0.244 6.344 2.256
Ir 2.927 2.765 2.256
Ir 6.098 0.814 6.767
Ir 3.415 4.393 6.767
```

=====

Material: Tm3Ir
Method: DFT, PBE
State: relaxed

Results
uncorrected energy	-6.093	eV/atom
formation energy	-0.5240	eV/atom
DOS(E_F)	3.175	states/eV/f.u.
SG	Immm
V	24.7	Å³/atom
M_tot	0.0	μB/f.u.

```
4
Lattice="-0.571 -1.684 3.108 -3.804 -2.679 -2.151 5.691 -1.646 -1.908" Properties=species:S:1:pos:R:3 pbc="T T T"
Ir -3.488 -2.456 -1.972
Tm 0.528 -3.424 -1.758
Tm -1.871 -1.958 0.658
Tm 1.422 -2.138 1.166
```

=====

Material: Tm3Ir2
Method: DFT, PBE
State: relaxed

Results
uncorrected energy	-6.978	eV/atom
formation energy	-0.7510	eV/atom
DOS(E_F)	2.785	states/eV/f.u.
SG	Cmcm
V	22.9	Å³/atom
M_tot	0.0	μB/f.u.

```
10
Lattice="-3.946 1.487 -0.683 0.489 -2.406 5.297 2.654 8.752 3.731" Properties=species:S:1:pos:R:3 pbc="T T T"
Tm -1.764 5.713 2.598
Tm -0.027 -1.138 4.358
Tm 0.961 2.120 5.747
Tm -0.776 8.971 3.987
Tm -0.024 5.784 6.059
Tm -0.779 2.048 2.286
Ir -0.402 3.916 4.173
Ir -1.728 -0.459 2.307
Ir 0.819 6.728 3.246
Ir -1.622 1.104 5.099
```

=====

Material: TmUIr2
Method: DFT, PBE
State: relaxed

Results
uncorrected energy	-9.029	eV/atom
formation energy	-0.6585	eV/atom
DOS(E_F)	3.358	states/eV/f.u.
SG	P4/mmm
V	19.8	Å³/atom
M_tot	1.7	μB/f.u.

```
4
Lattice="-0.869 -1.152 3.041 -2.045 -2.254 -1.438 5.254 -4.612 -0.245" Properties=species:S:1:pos:R:3 pbc="T T T"
Tm 1.170 -4.008 0.679
Ir 3.984 -3.497 -0.186
Ir 1.270 -1.115 -0.059
U -1.457 -1.703 0.801
```

=====

Material: TmVIr
Method: DFT, PBE
State: relaxed

Results
uncorrected energy	-7.747	eV/atom
formation energy	-0.2634	eV/atom
DOS(E_F)	5.000	states/eV/f.u.
SG	I4mm
V	18.0	Å³/atom
M_tot	0.0	μB/f.u.

```
3
Lattice="-1.959 -1.265 -2.076 1.492 -2.730 0.256 -3.169 0.523 5.021" Properties=species:S:1:pos:R:3 pbc="T T T"
Ir -3.129 -3.253 2.588
Tm -1.017 -2.337 0.037
V -2.106 -0.913 2.544
```

=====

Material: Tm2VIr3
Method: DFT, PBE
State: relaxed

Results
uncorrected energy	-8.287	eV/atom
formation energy	-0.8467	eV/atom
DOS(E_F)	3.802	states/eV/f.u.
SG	P6_3/mmc
V	17.6	Å³/atom
M_tot	0.0	μB/f.u.

```
12
Lattice="5.497 0.000 0.000 -2.749 4.761 0.000 0.000 0.000 8.077" Properties=species:S:1:pos:R:3 pbc="T T T"
Tm 2.749 1.587 3.540
Tm 0.000 3.174 4.537
Tm 0.000 3.174 7.578
Tm 2.749 1.587 0.499
V 0.000 0.000 4.038
V 0.000 0.000 0.000
Ir 0.000 1.615 2.019
Ir 1.399 0.808 6.058
Ir 2.749 3.145 6.058
Ir -1.350 3.953 2.019
Ir 4.098 0.808 6.058
Ir 1.350 3.953 2.019
```

=====

Material: TmVIr
Method: DFT, PBE
State: relaxed

Results
uncorrected energy	-8.062	eV/atom
formation energy	-0.5780	eV/atom
DOS(E_F)	2.722	states/eV/f.u.
SG	Pnma
V	18.7	Å³/atom
M_tot	0.0	μB/f.u.

```
12
Lattice="-2.805 -1.730 2.737 -2.334 -4.733 -5.383 4.802 -4.634 1.992" Properties=species:S:1:pos:R:3 pbc="T T T"
V -0.035 -4.099 -0.869
V -0.370 -7.039 0.282
V -3.589 -6.381 -2.600
V 3.184 -4.758 2.013
Ir -2.108 -5.500 -0.526
Ir -0.433 -9.288 -1.203
Ir 0.028 -1.850 0.616
Ir 1.704 -5.638 -0.060
Tm -0.119 -4.554 2.109
Tm -2.826 -2.858 0.407
Tm 2.421 -8.280 -0.994
Tm -0.286 -6.584 -2.696
```

=====

Material: YTmIr2
Method: DFT, PBE
State: relaxed

Results
uncorrected energy	-8.005	eV/atom
formation energy	-0.8408	eV/atom
DOS(E_F)	2.728	states/eV/f.u.
SG	Fm-3m
V	19.8	Å³/atom
M_tot	0.0	μB/f.u.

```
4
Lattice="-4.059 0.801 -2.473 -4.266 -1.128 1.940 -3.017 3.495 1.386" Properties=species:S:1:pos:R:3 pbc="T T T"
Y 0.000 0.000 0.000
Ir -2.836 0.792 0.213
Ir -8.507 2.375 0.640
Tm -5.671 1.584 0.426
```

=====

Material: YTm3Ir4
Method: DFT, PBE
State: relaxed

Results
uncorrected energy	-7.800	eV/atom
formation energy	-0.8848	eV/atom
DOS(E_F)	1.809	states/eV/f.u.
SG	P4/mmm
V	19.5	Å³/atom
M_tot	0.0	μB/f.u.

```
16
Lattice="-2.085 -2.849 -3.078 4.808 -5.047 1.414 -5.502 -3.332 6.811" Properties=species:S:1:pos:R:3 pbc="T T T"
Y 2.404 -2.523 0.707
Y -0.347 -4.190 4.113
Tm 0.000 0.000 0.000
Tm -2.751 -1.666 3.406
Tm -5.169 -3.924 3.569
Tm -2.418 -2.258 0.163
Tm -2.765 -6.447 4.276
Tm -0.014 -4.781 0.870
Ir 2.579 -5.226 -0.474
Ir -0.172 -6.892 2.932
Ir 0.144 -2.670 -1.190
Ir -2.607 -4.336 2.215
Ir -2.590 -9.150 3.095
Ir 2.246 -4.635 2.768
Ir -0.190 -2.079 2.051
Ir -5.025 -6.593 2.379
```

=====

Material: YTmIr
Method: DFT, PBE
State: relaxed

Results
uncorrected energy	-7.329	eV/atom
formation energy	-0.7299	eV/atom
DOS(E_F)	3.046	states/eV/f.u.
SG	P2_1/m
V	24.4	Å³/atom
M_tot	0.0	μB/f.u.

```
18
Lattice="-0.725 1.406 -4.264 -7.030 1.036 1.537 3.246 12.396 3.535" Properties=species:S:1:pos:R:3 pbc="T T T"
Y -2.830 6.397 -1.048
Y 2.004 9.240 1.493
Y -6.513 5.598 -0.686
Y -4.424 2.935 -1.919
Y -1.678 8.441 1.855
Y -0.085 11.903 2.726
Tm -6.625 2.389 0.701
Tm -4.698 6.837 1.840
Tm -2.703 11.380 0.573
Tm 0.189 8.001 -1.033
Tm -1.805 3.458 0.234
Tm 2.116 12.449 0.106
Ir -2.944 12.135 3.288
Ir -0.085 10.776 -0.071
Ir -4.027 8.819 -0.046
Ir -1.565 2.703 -2.481
Ir -0.482 6.019 0.853
Ir -4.423 4.062 0.878
```

=====

Material: YTm5Ir6
Method: DFT, PBE
State: relaxed

Results
uncorrected energy	-7.727	eV/atom
formation energy	-0.8945	eV/atom
DOS(E_F)	4.263	states/eV/f.u.
SG	Cmmm
V	19.4	Å³/atom
M_tot	0.0	μB/f.u.

```
12
Lattice="4.435 -0.026 1.478 0.038 7.099 0.013 -0.003 -0.013 7.404" Properties=species:S:1:pos:R:3 pbc="T T T"
Y 0.000 0.000 0.000
Tm 2.974 3.523 5.927
Tm 1.475 -0.013 2.966
Tm 0.019 3.549 0.006
Tm 2.956 -0.026 5.915
Tm 1.496 3.536 2.968
Ir 3.719 5.286 3.722
Ir 3.700 1.759 3.716
Ir 2.227 1.785 0.742
Ir 2.246 5.287 0.749
Ir 0.770 5.300 5.178
Ir 0.751 1.773 5.172
```

=====

Material: Y2TmIr
Method: DFT, PBE
State: relaxed

Results
uncorrected energy	-6.636	eV/atom
formation energy	-0.0704	eV/atom
DOS(E_F)	5.304	states/eV/f.u.
SG	R-3m
V	31.1	Å³/atom
M_tot	0.5	μB/f.u.

```
4
Lattice="-1.944 -0.890 -3.025 -1.639 -3.313 -0.240 -9.827 2.552 3.296" Properties=species:S:1:pos:R:3 pbc="T T T"
Y -6.939 1.230 1.830
Y -6.470 -2.881 -1.798
Ir -6.705 -0.825 0.016
Tm 0.000 0.000 0.000
```